# 1
Compound: Tb2RuCl
Source: the Alexandria database
Functional: GGA-PBE
Structure: relaxed

Properties
- formation energy without anion corrections (meV/atom) = -965
- ΔE to the lowest computed polymorph (meV per atom) = 0
- SG = P2/m
- D(E_F) (states/eV per cell) = 2.375

Cell and atoms, written as POSCAR:
```
Tb2RuCl
1.0
3.459 0.000 0.000
0.000 3.401 0.000
-0.008 0.000 8.095
Tb Ru Cl
2 1 1
Cartesian
0.000 0.000 1.674
3.450 0.000 6.421
1.729 1.700 0.000
-0.004 1.700 4.048
```

# 2
Compound: MnCuCSBr
Source: the Alexandria database
Functional: GGA-PBE
Structure: relaxed

Properties
- formation energy without anion corrections (meV/atom) = 208
- ΔE to the lowest computed polymorph (meV per atom) = 94
- SG = Pm
- D(E_F) (states/eV per cell) = 1.861

Cell and atoms, written as POSCAR:
```
MnCuCSBr
1.0
5.373 0.000 0.000
0.000 2.958 0.000
-2.307 0.000 6.394
Mn Cu C S Br
1 1 1 1 1
Cartesian
0.000 0.000 0.000
0.125 0.000 5.974
-1.211 1.479 6.301
1.682 1.479 5.084
4.253 0.000 2.167
```

# 3
Compound: LiIn2TcP
Source: the Alexandria database
Functional: GGA-PBE
Structure: relaxed

Properties
- ΔH_f (0 K) (eV per atom) = 0.96
- SG = P4/mmm
- D(E_F) (states/eV per cell) = 3.577

Cell and atoms, written as POSCAR:
```
LiIn2TcP
1.0
5.203 0.000 0.000
0.000 5.203 0.000
0.000 0.000 4.857
Li In Tc P
1 2 1 1
Cartesian
0.000 0.000 0.000
0.000 2.602 2.428
2.602 0.000 2.428
0.000 0.000 2.428
2.602 2.602 0.000
```

# 4
Compound: PmHo8Sc3
Source: the Alexandria database
Functional: GGA-PBE
Structure: relaxed

Properties
- ΔH_f (0 K) (eV per atom) = 0.04
- SG = Cm
- D(E_F) (states/eV per cell) = 18.750

Cell and atoms, written as POSCAR:
```
PmHo8Sc3
1.0
8.852 -2.446 0.000
8.852 2.446 0.000
-5.448 0.000 8.180
Pm Ho Sc
1 8 3
Cartesian
0.000 0.000 0.000
0.678 0.000 3.378
1.330 0.000 6.824
4.799 0.000 6.098
8.160 0.000 5.444
10.946 0.000 1.350
14.281 0.000 0.692
11.594 0.000 4.725
14.971 0.000 4.034
-2.037 0.000 7.491
4.113 0.000 2.671
7.469 0.000 2.054
```

# 5
Compound: PrPaCu4
Source: the Alexandria database
Functional: GGA-PBE
Structure: relaxed

Properties
- ΔH_f (0 K) (eV per atom) = 0.05
- SG = F-43m
- D(E_F) (states/eV per cell) = 9.189

Cell and atoms, written as POSCAR:
```
PrPaCu4
1.0
0.000 3.735 3.735
3.735 0.000 3.735
3.735 3.735 0.000
Pr Pa Cu
1 1 4
Cartesian
0.000 0.000 0.000
1.867 1.867 1.867
4.666 2.804 2.804
2.804 4.666 2.804
2.804 2.804 4.666
4.666 4.666 4.666
```

# 6
Compound: La2MgAl
Source: the Alexandria database
Functional: GGA-PBE
Structure: relaxed

Properties
- ΔH_f (0 K) (eV per atom) = 0.07
- SG = F-43m
- D(E_F) (states/eV per cell) = 7.537

Cell and atoms, written as POSCAR:
```
La2MgAl
1.0
0.000 3.783 3.783
3.783 0.000 3.783
3.783 3.783 0.000
La Mg Al
2 1 1
Cartesian
0.000 0.000 0.000
1.891 1.891 1.891
3.783 3.783 3.783
5.674 5.674 5.674
```

# 7
Compound: Te3PBr
Source: the Alexandria database
Functional: GGA-PBE
Structure: relaxed

Properties
- formation energy without anion corrections (meV/atom) = 9
- ΔE to the lowest computed polymorph (meV per atom) = 0
- SG = P2_1

Cell and atoms, written as POSCAR:
```
Te3PBr
1.0
7.589 0.000 0.000
0.000 4.691 0.000
-0.008 0.000 9.085
Te P Br
6 2 2
Cartesian
1.208 4.690 0.323
1.205 0.000 4.221
2.535 1.727 2.273
5.046 4.072 6.812
6.376 2.345 4.864
6.373 2.344 8.762
0.405 3.252 2.272
7.176 0.907 6.813
2.545 1.910 6.816
5.035 4.255 2.269
```

# 8
Compound: BePb3Cl
Source: the Alexandria database
Functional: GGA-PBE
Structure: relaxed

Properties
- formation energy without anion corrections (meV/atom) = 175
- ΔE to the lowest computed polymorph (meV per atom) = 0
- SG = Pm-3m
- D(E_F) (states/eV per cell) = 4.131

Cell and atoms, written as POSCAR:
```
BePb3Cl
1.0
5.187 0.000 0.000
0.000 5.187 0.000
0.000 0.000 5.187
Be Pb Cl
1 3 1
Cartesian
0.000 0.000 0.000
0.000 0.000 2.594
0.000 2.594 0.000
2.594 0.000 0.000
2.594 2.594 2.594
```

# 9
Compound: Er3Zn2Ga3
Source: the Alexandria database
Functional: GGA-PBE
Structure: relaxed

Properties
- ΔH_f (0 K) (eV per atom) = -0.56
- SG = Cmcm
- D(E_F) (states/eV per cell) = 8.925

Cell and atoms, written as POSCAR:
```
Er3Zn2Ga3
1.0
2.169 -5.274 0.000
2.169 5.274 0.000
0.000 0.000 14.372
Er Zn Ga
6 4 6
Cartesian
2.169 4.361 8.804
2.169 4.361 12.754
2.169 1.447 10.779
2.169 -1.447 3.593
2.169 -4.361 1.618
2.169 -4.361 5.568
2.169 3.079 1.411
2.169 3.079 5.775
2.169 -3.079 8.597
2.169 -3.079 12.962
2.169 1.623 3.593
2.169 1.164 7.767
2.169 1.164 13.792
2.169 -1.164 0.580
2.169 -1.164 6.606
2.169 -1.623 10.779
```

# 10
Compound: Na17Cd11Hg
Source: the Alexandria database
Functional: GGA-PBE
Structure: relaxed

Properties
- ΔH_f (0 K) (eV per atom) = -0.09
- SG = Cm
- D(E_F) (states/eV per cell) = 19.189

Cell and atoms, written as POSCAR:
```
Na17Cd11Hg
1.0
5.861 -8.252 0.000
5.861 8.252 0.000
-5.835 0.000 8.297
Na Cd Hg
17 11 1
Cartesian
0.000 0.000 0.000
-2.156 4.878 8.027
-3.780 0.000 5.421
-1.750 2.854 5.418
0.398 2.552 2.071
3.676 3.365 2.831
0.398 -2.552 2.071
1.507 2.279 5.439
-1.750 -2.854 5.418
2.595 0.000 3.118
6.272 2.603 0.531
-2.156 -4.878 8.027
1.507 -2.279 5.439
5.869 0.000 2.556
3.676 -3.365 2.831
2.626 0.000 7.757
6.272 -2.603 0.531
3.091 6.734 2.422
1.012 5.250 3.908
3.076 1.523 0.142
1.017 5.265 6.954
3.076 -1.523 0.142
-0.585 0.000 6.949
1.012 -5.250 3.908
4.714 1.473 5.432
3.091 -6.734 2.422
4.714 -1.473 5.432
1.017 -5.265 6.954
-0.532 0.000 3.966
```

# 11
Compound: LaMg3Tl
Source: the Alexandria database
Functional: GGA-PBE
Structure: relaxed

Properties
- ΔE to the lowest computed polymorph (meV per atom) = 729
- ΔH_f (0 K) (eV per atom) = 0.95
- SG = Pm-3m
- D(E_F) (states/eV per cell) = 6.299

Cell and atoms, written as POSCAR:
```
LaMg3Tl
1.0
6.169 0.000 0.000
0.000 6.169 0.000
0.000 0.000 6.169
La Mg Tl
1 3 1
Cartesian
0.000 0.000 0.000
0.000 0.000 3.085
0.000 3.085 0.000
3.085 0.000 0.000
3.085 3.085 3.085
```

# 12
Compound: Na3Nd3SiO8
Source: the Alexandria database
Functional: GGA-PBE
Structure: relaxed

Properties
- formation energy without anion corrections (meV/atom) = -2503
- SG = R-3m

Cell and atoms, written as POSCAR:
```
Na3Nd3SiO8
1.0
3.422 1.976 5.546
-3.422 1.976 5.546
0.000 -3.952 5.546
Na Nd Si O
3 3 1 8
Cartesian
-1.711 -0.988 5.546
-1.711 0.988 11.093
0.000 1.976 5.546
-3.422 0.000 8.320
-1.711 0.988 2.773
1.711 0.988 2.773
0.000 0.000 8.320
0.000 0.000 4.001
-1.380 -0.797 9.362
0.000 -1.593 7.278
-1.380 0.797 7.278
1.380 -0.797 9.362
0.000 1.593 9.362
1.380 0.797 7.278
0.000 0.000 12.638
```

# 13
Compound: HgMoSe
Source: the Alexandria database
Functional: GGA-PBE
Structure: relaxed

Properties
- formation energy without anion corrections (meV/atom) = 367
- ΔE to the lowest computed polymorph (meV per atom) = 395
- SG = Fmm2
- D(E_F) (states/eV per cell) = 1.702

Cell and atoms, written as POSCAR:
```
HgMoSe
1.0
0.000 2.667 7.499
1.619 0.000 7.499
1.619 2.667 0.000
Hg Mo Se
1 1 1
Cartesian
0.000 0.000 0.000
1.619 2.667 9.917
1.619 2.667 4.236
```

# 14
Compound: NaSr2MnH6
Source: the Alexandria database
Functional: GGA-PBE
Structure: relaxed

Properties
- SG = P-3m1
- D(E_F) (states/eV per cell) = 1.852

Cell and atoms, written as POSCAR:
```
NaSr2MnH6
1.0
5.292 0.000 0.000
-2.646 4.583 0.000
0.000 0.000 5.659
Na Sr Mn H
1 2 1 6
Cartesian
0.000 0.000 0.000
0.000 3.056 1.909
2.646 1.528 3.750
0.000 0.000 2.829
0.000 1.407 3.796
-1.428 3.880 3.796
1.218 0.703 1.863
1.428 3.880 3.796
4.074 0.703 1.863
2.646 3.177 1.863
```

# 15
Compound: RbNa3Ru
Source: the Alexandria database
Functional: GGA-PBE
Structure: relaxed

Properties
- ΔE to the lowest computed polymorph (meV per atom) = 713
- ΔH_f (0 K) (eV per atom) = 1.50
- SG = Pm-3m
- D(E_F) (states/eV per cell) = 9.698

Cell and atoms, written as POSCAR:
```
RbNa3Ru
1.0
5.937 0.000 0.000
0.000 5.937 0.000
0.000 0.000 5.937
Rb Na Ru
1 3 1
Cartesian
0.000 0.000 0.000
0.000 0.000 2.969
0.000 2.969 0.000
2.969 0.000 0.000
2.969 2.969 2.969
```

# 16
Compound: Sm6Tl3Sn
Source: the Alexandria database
Functional: GGA-PBE
Structure: relaxed

Properties
- ΔH_f (0 K) (eV per atom) = -0.27
- SG = P2_1/m
- D(E_F) (states/eV per cell) = 21.570

Cell and atoms, written as POSCAR:
```
Sm6Tl3Sn
1.0
11.920 0.000 0.000
0.000 3.813 0.000
-3.903 0.000 13.816
Sm Tl Sn
12 6 2
Cartesian
-0.605 0.953 2.409
-0.311 2.860 5.671
-0.394 0.953 11.395
2.802 0.953 3.574
1.847 0.953 8.695
4.368 2.860 0.447
3.649 0.953 13.370
6.169 2.860 5.121
5.215 2.860 10.242
8.410 2.860 2.422
8.328 0.953 8.145
8.622 2.860 11.407
-1.073 2.860 8.788
1.674 0.953 0.235
2.893 2.860 6.217
5.123 0.953 7.600
6.342 2.860 13.581
9.090 0.953 5.028
2.212 2.860 11.308
5.805 0.953 2.508
```

# 17
Compound: Re2NiAs
Source: the Alexandria database
Functional: GGA-PBE
Structure: relaxed

Properties
- ΔH_f (0 K) (eV per atom) = 0.15
- SG = Pm
- D(E_F) (states/eV per cell) = 3.157

Cell and atoms, written as POSCAR:
```
Re2NiAs
1.0
2.886 0.000 0.000
0.000 3.748 0.000
-1.414 0.000 5.374
Re Ni As
2 1 1
Cartesian
0.000 0.000 0.000
0.007 1.874 4.165
1.446 0.000 2.568
0.004 1.874 1.761
```

# 18
Compound: Mg2CrRu
Source: the Alexandria database
Functional: GGA-PBE
Structure: relaxed

Properties
- ΔE to the lowest computed polymorph (meV per atom) = 0
- ΔH_f (0 K) (eV per atom) = 0.04
- SG = P4mm
- D(E_F) (states/eV per cell) = 1.517

Cell and atoms, written as POSCAR:
```
Mg2CrRu
1.0
3.013 0.000 0.000
0.000 3.013 0.000
0.000 0.000 7.141
Mg Cr Ru
2 1 1
Cartesian
0.000 0.000 0.000
1.507 1.507 2.302
1.507 1.507 5.352
0.000 0.000 4.101
```

# 19
Compound: BaSi2Se
Source: the Alexandria database
Functional: GGA-PBE
Structure: relaxed

Properties
- formation energy without anion corrections (meV/atom) = -1
- ΔE to the lowest computed polymorph (meV per atom) = 461
- SG = Immm
- D(E_F) (states/eV per cell) = 2.055

Cell and atoms, written as POSCAR:
```
BaSi2Se
1.0
-1.855 2.615 5.073
1.855 -2.615 5.073
1.855 2.615 -5.073
Ba Si Se
1 2 1
Cartesian
0.000 0.000 0.000
1.855 0.000 2.915
0.000 2.615 2.159
0.000 0.000 5.073
```

# 20
Compound: Tl8SBr3Cl3
Source: the Alexandria database
Functional: GGA-PBE
Structure: relaxed

Properties
- formation energy without anion corrections (meV/atom) = -808
- SG = C2/m
- D(E_F) (states/eV per cell) = 0.000

Cell and atoms, written as POSCAR:
```
Tl8SBr3Cl3
1.0
8.021 -4.623 0.000
8.021 4.623 0.000
-5.356 0.000 7.713
Tl S Br Cl
8 1 3 3
Cartesian
-0.187 0.000 5.569
4.095 2.467 5.570
6.591 2.467 2.143
2.669 0.000 2.016
8.017 0.000 5.697
4.095 -2.467 5.570
6.591 -2.467 2.143
10.873 0.000 2.144
-2.678 0.000 3.856
0.000 0.000 0.000
4.011 2.311 0.000
4.011 -2.311 0.000
1.332 2.311 3.856
1.332 -2.311 3.856
5.343 0.000 3.856
```

Mass density, record by record: 7924, 3963, 4617, 7498, 9978, 5049, 5069, 7925, 8504, 3782, 2944, 4854, 9631, 3136, 2027, 8641, 14457, 5164, 4594, 5845 kg/m3
E, record by record: -24.24, -27.25, -18.37, -59.85, -30.36, -14.92, -16.46, -15.82, -29.76, -35.41, -7.31, -100.90, -13.52, -37.08, -6.72, -42.16, -34.72, -21.91, -16.26, -45.73 eV/f.u.